# 1
# Er6MgSc3

A geometry-optimized Er6MgSc3 structure (PBE, Alexandria via LeMat-Bulk).

Cell lengths 3.4850, 13.0978, 12.3763 Å; angles 85.75, 90.00, 90.00 degrees
Sites, in units of the cell vectors:
Er  0.2500  0.4187  0.0836
Er  0.7500  0.5813  0.9164
Er  0.2500  0.1826  0.2128
Er  0.7500  0.8174  0.7872
Er  0.2500  0.6117  0.6816
Er  0.7500  0.3883  0.3184
Er  0.2500  0.2214  0.4836
Er  0.7500  0.7786  0.5164
Er  0.2500  0.8159  0.2856
Er  0.7500  0.1841  0.7144
Er  0.2500  0.0182  0.8843
Er  0.7500  0.9818  0.1157
Mg  0.2500  0.9852  0.6126
Mg  0.7500  0.0148  0.3874
Sc  0.2500  0.5850  0.4160
Sc  0.7500  0.4150  0.5840
Sc  0.2500  0.3790  0.8158
Sc  0.7500  0.6210  0.1842
Sc  0.2500  0.7816  0.0223
Sc  0.7500  0.2184  0.9777

Results
total moment = 0.003 μB per formula unit
energy of formation = 0.016 eV per atom
energy relative to the lowest polymorph listed for this composition = 0.0000 eV per atom
electronic total energy = -0.1757 Ha/atom


# 2
# Er3MgSc3

A geometry-optimized Er3MgSc3 structure (PBE, Alexandria via LeMat-Bulk).

Cell lengths 5.3348, 9.0272, 9.0272 Å; angles 120.00, 90.00, 90.00 degrees
Each line ends with the local moment (μB).
Sites, in units of the cell vectors:
Er  0.7500  0.4678  0.3690  0.17
Er  0.7500  0.9012  0.5322  0.17
Er  0.2500  0.3690  0.9012  0.17
Er  0.7500  0.6310  0.0988  0.17
Er  0.2500  0.0988  0.4678  0.17
Er  0.2500  0.5322  0.6310  0.17
Mg  0.2500  0.6667  0.3333  0.01
Mg  0.7500  0.3333  0.6667  0.01
Sc  0.7500  0.1786  0.9482  0.08
Sc  0.7500  0.7696  0.8214  0.08
Sc  0.2500  0.9482  0.7696  0.08
Sc  0.7500  0.0518  0.2304  0.08
Sc  0.2500  0.2304  0.1786  0.08
Sc  0.2500  0.8214  0.0518  0.08

Results
total moment = 1.094 μB per formula unit
energy of formation = 0.023 eV per atom
energy relative to the lowest polymorph listed for this composition = 0.0000 eV per atom
electronic total energy = -0.1791 Ha/atom